1.
{"formula": "Li2Ga6Au", "functional": "PBE-GGA", "state": "relaxed", "density_kg_m3": 6204, "ef_ev_per_atom": -0.196, "space_group": "C2/m, No. 12", "magmom_total_mub_per_cell": 0.00, "lattice": [[5.294, -2.733, 0.000], [5.294, 2.733, 0.000], [-0.529, 0.000, 5.820]], "species": ["Li", "Li", "Ga", "Ga", "Ga", "Ga", "Ga", "Ga", "Au"], "frac_coords": [[0.135, 0.135, 0.384], [0.865, 0.865, 0.616], [0.139, 0.660, 0.143], [0.321, 0.321, 0.779], [0.340, 0.861, 0.857], [0.660, 0.139, 0.143], [0.679, 0.679, 0.221], [0.861, 0.340, 0.857], [0.500, 0.500, 0.500]]}

***

2.
{"formula": "LiGa8Au6", "functional": "PBE-GGA", "state": "relaxed", "density_kg_m3": 9929, "ef_ev_per_atom": -0.224, "space_group": "R-3, No. 148", "magmom_total_mub_per_cell": 0.00, "lattice": [[3.817, 2.204, 5.788], [-3.817, 2.204, 5.788], [0.000, -4.407, 5.788]], "species": ["Li", "Ga", "Ga", "Ga", "Ga", "Ga", "Ga", "Ga", "Ga", "Au", "Au", "Au", "Au", "Au", "Au"], "frac_coords": [[0.000, 0.000, 0.000], [0.112, 0.429, 0.791], [0.209, 0.888, 0.571], [0.333, 0.333, 0.333], [0.429, 0.791, 0.112], [0.571, 0.209, 0.888], [0.667, 0.667, 0.667], [0.791, 0.112, 0.429], [0.888, 0.571, 0.209], [0.068, 0.727, 0.411], [0.273, 0.589, 0.932], [0.411, 0.068, 0.727], [0.589, 0.932, 0.273], [0.727, 0.411, 0.068], [0.932, 0.273, 0.589]]}

***

3.
{"formula": "LiGa5Au4", "functional": "PBE-GGA", "state": "relaxed", "density_kg_m3": 10272, "ef_ev_per_atom": -0.210, "space_group": "C2/m, No. 12", "magmom_total_mub_per_cell": 0.00, "lattice": [[6.956, -2.224, 0.000], [6.956, 2.224, 0.000], [-2.587, 0.000, 5.974]], "species": ["Li", "Ga", "Ga", "Ga", "Ga", "Ga", "Au", "Au", "Au", "Au"], "frac_coords": [[0.000, 0.000, 0.000], [0.000, 0.000, 0.500], [0.299, 0.299, 0.209], [0.331, 0.331, 0.833], [0.669, 0.669, 0.167], [0.701, 0.701, 0.791], [0.164, 0.164, 0.409], [0.495, 0.495, 0.251], [0.505, 0.505, 0.749], [0.836, 0.836, 0.591]]}

***

4.
{"formula": "Li3GaAu6", "functional": "PBE-GGA", "state": "relaxed", "density_kg_m3": 11204, "ef_ev_per_atom": -0.332, "space_group": "Cmc2_1, No. 36", "magmom_total_mub_per_cell": 0.00, "lattice": [[4.320, -7.925, 0.000], [4.320, 7.925, 0.000], [0.000, 0.000, 5.508]], "species": ["Li", "Li", "Li", "Li", "Li", "Li", "Ga", "Ga", "Au", "Au", "Au", "Au", "Au", "Au", "Au", "Au", "Au", "Au", "Au", "Au"], "frac_coords": [[0.064, 0.936, 0.500], [0.121, 0.414, 0.403], [0.414, 0.121, 0.903], [0.586, 0.879, 0.403], [0.879, 0.586, 0.903], [0.936, 0.064, 0.000], [0.239, 0.761, 0.163], [0.761, 0.239, 0.663], [0.058, 0.421, 0.888], [0.229, 0.771, 0.698], [0.253, 0.274, 0.735], [0.274, 0.253, 0.235], [0.405, 0.595, 0.062], [0.421, 0.058, 0.388], [0.579, 0.942, 0.888], [0.595, 0.405, 0.562], [0.726, 0.747, 0.735], [0.747, 0.726, 0.235], [0.771, 0.229, 0.198], [0.942, 0.579, 0.388]]}